Version w
A relaxed structure of Sr5MnFe4O10. Source: the Alexandria database, functional PBE with a Hubbard U.

## Properties
The calculation puts the volume at 565.42 Å³ per cell. As for the symmetry: P1.

```
Sr5MnFe4O10
1.0
5.301 0.140 -0.001
-0.717 5.255 0.000
2.292 2.700 20.222
O Fe Sr Mn
20 8 10 2
Direct
0.632 0.131 0.000
0.854 0.855 0.304
0.969 0.969 0.107
0.150 0.650 0.206
0.354 0.854 0.793
0.854 0.354 0.794
0.158 0.159 0.696
0.457 0.956 0.598
0.357 0.355 0.304
0.658 0.658 0.696
0.076 0.075 0.893
0.253 0.256 0.500
0.469 0.469 0.107
0.755 0.758 0.500
0.553 0.053 0.402
0.651 0.150 0.206
0.956 0.456 0.598
0.056 0.556 0.402
0.131 0.631 0.000
0.576 0.577 0.893
0.406 0.406 0.205
0.111 0.111 0.794
0.707 0.707 0.598
0.611 0.611 0.795
0.906 0.906 0.205
0.305 0.305 0.402
0.805 0.805 0.402
0.207 0.206 0.598
0.063 0.563 0.888
0.952 0.451 0.112
0.658 0.158 0.695
0.563 0.063 0.888
0.255 0.756 0.500
0.159 0.658 0.695
0.755 0.256 0.500
0.854 0.354 0.304
0.355 0.854 0.305
0.453 0.952 0.112
0.978 0.978 0.000
0.478 0.478 0.000
```

Version x
A relaxed structure of Sr5MnFe4O10. Source: the Alexandria database, functional PBE with a Hubbard U.

## Properties
The calculation puts the volume at 563.81 Å³ per cell. For the density of states at the Fermi level, the calculation gives 0.025 states/eV/atom. As for the symmetry: P1.

```
Sr5MnFe4O10
1.0
-1.958 1.210 -2.638
-12.634 -15.922 2.072
-5.329 2.887 5.282
O Fe Sr Mn
20 8 10 2
Direct
0.003 0.699 0.651
0.000 0.100 0.450
0.997 0.895 0.553
0.000 0.303 0.849
0.000 0.402 0.052
0.002 0.898 0.052
0.999 0.601 0.449
0.000 0.998 0.242
0.005 0.799 0.852
0.000 0.303 0.349
0.000 0.502 0.249
0.001 0.998 0.760
0.000 0.096 0.952
0.000 0.200 0.148
0.000 0.402 0.545
0.000 0.200 0.651
0.997 0.700 0.150
0.995 0.799 0.350
0.001 0.600 0.951
0.000 0.503 0.748
0.000 0.799 0.100
0.000 0.403 0.799
0.000 0.798 0.601
0.000 0.601 0.700
0.000 0.402 0.299
0.000 0.201 0.900
0.999 0.601 0.200
0.000 0.201 0.399
0.500 0.099 0.700
0.500 0.098 0.201
0.501 0.897 0.801
0.500 0.700 0.900
0.500 0.303 0.596
0.500 0.303 0.101
0.500 0.502 0.497
0.499 0.700 0.400
0.500 0.897 0.303
0.500 0.502 0.001
0.001 0.998 0.001
0.999 0.998 0.501
```

Which structure above is the least stable one? version w is the least stable one.